Entry 1:
This record from Alexandria via LeMat-Bulk describes a relaxed MnCoMo2 crystal. The functional is GGA-PBE.

Its formation energy is 11.8 kJ/mol of atoms. The offset from the most stable computed form comes out at 0.141 kcal/mol of atoms. As for the total energy: -9.36 eV per atom.

Cell lengths 3.0921, 3.0921, 5.8290 Å; angles 90.00, 90.00, 90.00 degrees
Last column: nearest neighbours and their distance in Å.
Space group P4mm (No. 99)
Asymmetric unit:
Mn  0.0000  0.0000  0.0000 [1 per cell]  4 Co 2.58, 5 Mo 2.63-2.81
Co  0.5000  0.5000  0.7658 [1 per cell]  4 Mn 2.58, 5 Mo 2.62-2.82
Mo  0.0000  0.0000  0.5181 [1 per cell]  4 Co 2.62, 4 Mo 2.69, 1 Mn 2.81
Mo  0.5000  0.5000  0.2501 [1 per cell]  4 Mn 2.63, 4 Mo 2.69, 1 Co 2.82

Entry 2:
This record from Alexandria via LeMat-Bulk describes a relaxed Mn4Co2Mo crystal. The functional is GGA-PBE.

Its formation energy is 111.1 kJ/mol of atoms. As for the total energy: -7.67 eV per atom.

Cell lengths 4.4089, 4.4089, 12.1474 Å; angles 90.00, 90.00, 90.00 degrees
Last column: nearest neighbours and their distance in Å.
Space group I4/mmm (No. 139)
Asymmetric unit:
Mn  0.0000  0.0000  0.2061 [4 per cell]  1 Co 2.36, 1 Mo 2.50
Mn  0.0000  0.5000  0.0000 [4 per cell]  2 Mo 2.20
Co  0.0000  0.0000  0.4007 [4 per cell]  5 Mn 2.36-2.51, 1 Co 2.41
Mo  0.0000  0.0000  0.0000 [2 per cell]  4 Mn 2.20

Entry 3:
This record from Alexandria via LeMat-Bulk describes a relaxed MnCoMo2 crystal. The functional is GGA-PBE.

Its formation energy is 12.9 kJ/mol of atoms. The offset from the most stable computed form comes out at 0.418 kcal/mol of atoms. As for the total energy: -9.35 eV per atom.

Cell lengths 3.3160, 4.1498, 7.9830 Å; angles 90.00, 90.00, 90.00 degrees
Last column: nearest neighbours and their distance in Å.
Space group Cmm2 (No. 35)
Asymmetric unit:
Mn  0.0000  0.0000  0.0000 [2 per cell]  2 Co 2.38, 2 Mo 2.65, 4 Mn 2.66
Co  0.0000  0.5000  0.2133 [2 per cell]  2 Mn 2.38, 2 Mo 2.54, 4 Co 2.66
Mo  0.0000  0.0000  0.4536 [2 per cell]  4 Co 2.54-2.83, 6 Mo 2.66-2.83
Mo  0.0000  0.5000  0.7406 [2 per cell]  4 Mn 2.65-2.93, 6 Mo 2.66-2.83